## MgBi3Ir (PBE)

Data for a relaxed MgBi3Ir crystal.

Lattice parameters (Å, degrees): 5.4239 5.4239 5.4239 90.00 90.00 90.00
Atoms (fractional coordinates):
Bi 0.5000 0.0000 0.0000
Bi 0.0000 0.0000 0.5000
Bi 0.0000 0.5000 0.0000
Ir 0.0000 0.0000 0.0000
Mg 0.5000 0.5000 0.5000

Properties
* offset from the most stable computed form: 0.00 eV/f.u.
* space group: Pm-3m, No. 221
* E: -19.76 eV per cell
* formation enthalpy at 0 K: 0.467 eV per atom



## MgNiBi2Ir (PBE)

Data for a relaxed MgNiBi2Ir crystal.

Lattice parameters (Å, degrees): 5.0328 4.7563 5.0328 90.00 90.00 90.00
Atoms (fractional coordinates):
Bi 0.5000 0.0000 0.0000
Bi 0.0000 0.0000 0.5000
Ir 0.0000 0.5000 0.0000
Mg 0.5000 0.5000 0.5000
Ni 0.0000 0.0000 0.0000

Properties
* space group: P4/mmm, No. 123
* E: -21.10 eV per cell
* formation enthalpy at 0 K: 0.581 eV per atom



## Mg2BiIrO8 (PBE)

Data for a relaxed Mg2BiIrO8 crystal.

Lattice parameters (Å, degrees): 4.7317 4.7253 6.5002 90.00 90.00 91.69
Atoms (fractional coordinates):
O 0.8079 0.1932 0.7784
O 0.1921 0.8068 0.2216
O 0.6858 0.6863 0.5000
O 0.2815 0.2808 0.0000
O 0.1921 0.8068 0.7784
O 0.3142 0.3137 0.5000
O 0.7185 0.7192 0.0000
O 0.8079 0.1932 0.2216
Ir 0.0000 0.0000 0.0000
Bi 0.0000 0.0000 0.5000
Mg 0.5000 0.5000 0.2486
Mg 0.5000 0.5000 0.7514

Properties
* space group: Cmmm, No. 65
* E: -71.56 eV per cell
* E_form (uncorrected): -1.33 eV per atom



## MgBiIrO6 (PBE)

Data for a relaxed MgBiIrO6 crystal.

Lattice parameters (Å, degrees): 5.4498 5.4498 8.7240 90.00 90.00 120.00
Atoms (fractional coordinates):
O 0.3632 0.3247 0.3732
O 0.3632 0.0385 0.1268
O 0.0385 0.6753 0.8732
O 0.6753 0.6368 0.1268
O 0.3247 0.3632 0.8732
O 0.6368 0.9615 0.8732
O 0.3247 0.9615 0.6268
O 0.9615 0.6368 0.3732
O 0.0385 0.3632 0.6268
O 0.9615 0.3247 0.1268
O 0.6753 0.0385 0.3732
O 0.6368 0.6753 0.6268
Bi 0.3333 0.6667 0.2500
Bi 0.6667 0.3333 0.7500
Ir 0.3333 0.6667 0.7500
Ir 0.6667 0.3333 0.2500
Mg 0.0000 0.0000 0.5000
Mg 0.0000 0.0000 0.0000

Properties
* space group: P-31c, No. 163
* E: -109.40 eV per cell
* E_form (uncorrected): -1.18 eV per atom



The highest E belongs to which entry?
MgBi3Ir